A plane-wave DFT calculation with PBE-GGA was carried out for crystalline K3NaU2S6 at its relaxed geometry.

a b c (Å): 7.123 7.123 7.697
angles (deg): 98.87 98.87 119.98
Sites, in units of the cell vectors:
K 0.158 0.842 0.500
K 0.842 0.158 0.500
K 0.500 0.500 0.500
Na 0.000 0.000 0.000
U 0.333 0.667 0.000
U 0.667 0.333 0.000
S 0.932 0.572 0.797
S 0.709 0.709 0.200
S 0.068 0.428 0.203
S 0.572 0.932 0.797
S 0.291 0.291 0.800
S 0.428 0.068 0.203

Formation energy from raw total energies   -1.418 eV per atom
Total DFT energy (no corrections)   -5.748 eV per atom
Size of the total moment   0.3333 μB per atom